Run w
# Be2AlBr

A geometry-optimized Be2AlBr structure (PBE, Alexandria).

## Properties
D(E_F), states/eV/cell: 0.2
Mass density, Mg/m³: 2.81
Calculated volume, Å³ per cell: 73.8

```
Be2AlBr
1.0
-3.3348 1.7561 -1.4960
-1.5602 -1.3182 -3.5029
-5.6643 -3.1305 -0.2128
Be Al Br
2 1 1
Direct
0.8942 0.8942 0.2946 Be
0.6058 0.6058 0.2054 Be
0.2500 0.2500 0.2500 Al
0.7500 0.7500 0.7500 Br
```

---

Run x
# Be2AlBr

A geometry-optimized Be2AlBr structure (PBE, Alexandria).

## Properties
D(E_F), states/eV/cell: 1.6
Mass density, Mg/m³: 2.98
Calculated volume, Å³ per cell: 69.6

```
Be2AlBr
1.0
6.3221 0.0661 0.0000
4.3866 4.5532 0.0000
-5.3544 -2.3097 2.4434
Be Al Br
2 1 1
Direct
0.0000 0.0000 0.0000 Be
0.2500 0.7500 0.5000 Be
0.7500 0.2500 0.5000 Al
0.5000 0.5000 0.0000 Br
```

---

Run y
# Be2AlBr

A geometry-optimized Be2AlBr structure (PBE, Alexandria).

## Properties
D(E_F), states/eV/cell: 1.5
Mass density, Mg/m³: 3.04
Calculated volume, Å³ per cell: 68.3

```
Be2AlBr
1.0
-3.9855 -3.3914 -0.9348
0.5137 -2.2219 -4.8020
1.9561 0.5857 4.9082
Be Al Br
2 1 1
Direct
0.9598 0.9598 0.0000 Be
0.7624 0.2624 0.5000 Be
0.2134 0.7134 0.5000 Al
0.5644 0.5644 0.0000 Br
```

---

Run z
# Be2AlBr

A geometry-optimized Be2AlBr structure (PBE, Alexandria).

## Properties
D(E_F), states/eV/cell: 1.7
Mass density, Mg/m³: 3.15
Calculated volume, Å³ per cell: 65.7

```
Be2AlBr
1.0
4.9917 0.0065 0.0025
1.0217 4.8860 -0.0025
-1.9863 -3.7005 2.6978
Be Al Br
2 1 1
Direct
0.9974 0.9974 0.0000 Be
0.5026 0.5026 0.0000 Be
0.2500 0.7500 0.5000 Al
0.7500 0.2500 0.5000 Br
```

---

In terms of stability, run w leads; the second structure lies 0.548 eV/atom higher.